(a)
A relaxed V6OsRu crystal, computed with PBE-GGA.

The structure in CIF format:
```
data_V6OsRu
_chemical_formula_sum 'V6 Os1 Ru1'
_symmetry_space_group_name_H-M 'P m -3'
_symmetry_Int_Tables_number 200
_symmetry_space_group_name_Hall '-P 2 2 3'
_cell_length_a 4.7811
_cell_length_b 4.7811
_cell_length_c 4.7811
_cell_angle_alpha 90.00
_cell_angle_beta 90.00
_cell_angle_gamma 90.00
loop_
_atom_site_label
_atom_site_fract_x
_atom_site_fract_y
_atom_site_fract_z
V1 0.0000 0.2501 0.5000
Os1 0.5000 0.5000 0.5000
Ru1 0.0000 0.0000 0.0000
```

***

(b)
A relaxed V6OsRu crystal, computed with PBE-GGA.

The structure in CIF format:
```
data_V6OsRu
_chemical_formula_sum 'V12 Os2 Ru2'
_symmetry_space_group_name_H-M 'C m m m'
_symmetry_Int_Tables_number 65
_symmetry_space_group_name_Hall '-C 2 2'
_cell_length_a 5.9771
_cell_length_b 8.4872
_cell_length_c 4.2453
_cell_angle_alpha 90.00
_cell_angle_beta 90.00
_cell_angle_gamma 90.00
loop_
_atom_site_label
_atom_site_fract_x
_atom_site_fract_y
_atom_site_fract_z
V1 0.0000 0.2492 0.0000
V2 0.2499 0.0000 0.0000
V3 0.2500 0.2500 0.5000
Os1 0.0000 0.0000 0.5000
Ru1 0.0000 0.5000 0.5000
```

***

Of them, the most stable is (b) and the least stable is (a).

***

(a)
A relaxed VOs3Ru crystal, computed with PBE-GGA.

The structure in CIF format:
```
data_VOs3Ru
_chemical_formula_sum 'V2 Os6 Ru2'
_symmetry_space_group_name_H-M 'P 1 21/m 1'
_symmetry_Int_Tables_number 11
_cell_length_a 4.7049
_cell_length_b 4.3550
_cell_length_c 7.2514
_cell_angle_alpha 90.00
_cell_angle_beta 108.55
_cell_angle_gamma 90.00
loop_
_symmetry_equiv_pos_as_xyz
'x,y,z'
'-x,-y,-z'
'-x,y+1/2,-z'
'x,-y+1/2,z'
loop_
_atom_site_label
_atom_site_fract_x
_atom_site_fract_y
_atom_site_fract_z
V1 0.0127 0.2500 0.3906
Os1 0.1670 0.7500 0.0040
Os2 0.2262 0.2500 0.7964
Os3 0.3706 0.7500 0.4045
Ru1 0.4302 0.2500 0.2005
```

***

(b)
A relaxed VOs3Ru crystal, computed with PBE-GGA.

The structure in CIF format:
```
data_VOs3Ru
_chemical_formula_sum 'V1 Os3 Ru1'
_symmetry_space_group_name_H-M 'P m -3 m'
_symmetry_Int_Tables_number 221
_symmetry_space_group_name_Hall '-P 4 2 3'
_cell_length_a 4.4137
_cell_length_b 4.4137
_cell_length_c 4.4137
_cell_angle_alpha 90.00
_cell_angle_beta 90.00
_cell_angle_gamma 90.00
loop_
_atom_site_label
_atom_site_fract_x
_atom_site_fract_y
_atom_site_fract_z
V1 0.0000 0.0000 0.0000
Os1 0.0000 0.0000 0.5000
Ru1 0.5000 0.5000 0.5000
```

***

Of them, the most stable is (a) and the least stable is (b).

***

(a)
A relaxed Os3RuW crystal, computed with PBE-GGA.

The structure in CIF format:
```
data_Os3RuW
_chemical_formula_sum 'Os3 Ru1 W1'
_symmetry_space_group_name_H-M 'P m -3 m'
_symmetry_Int_Tables_number 221
_symmetry_space_group_name_Hall '-P 4 2 3'
_cell_length_a 4.6674
_cell_length_b 4.6674
_cell_length_c 4.6674
_cell_angle_alpha 90.00
_cell_angle_beta 90.00
_cell_angle_gamma 90.00
loop_
_atom_site_label
_atom_site_fract_x
_atom_site_fract_y
_atom_site_fract_z
Os1 0.0000 0.0000 0.5000
Ru1 0.5000 0.5000 0.5000
W1 0.0000 0.0000 0.0000
```

***

(b)
A relaxed Os3RuW crystal, computed with PBE-GGA.

The structure in CIF format:
```
data_Os3RuW
_chemical_formula_sum 'Os6 Ru2 W2'
_symmetry_space_group_name_H-M 'P -1'
_symmetry_Int_Tables_number 2
_cell_length_a 5.0069
_cell_length_b 5.0614
_cell_length_c 7.1996
_cell_angle_alpha 92.07
_cell_angle_beta 97.49
_cell_angle_gamma 118.29
loop_
_symmetry_equiv_pos_as_xyz
'x,y,z'
'-x,-y,-z'
loop_
_atom_site_label
_atom_site_fract_x
_atom_site_fract_y
_atom_site_fract_z
Os1 0.1575 0.1147 0.1622
Os2 0.2198 0.6073 0.3855
Os3 0.3273 0.8485 0.7366
Ru1 0.0000 0.0000 0.5000
Ru2 0.0000 0.5000 0.0000
W1 0.3600 0.3675 0.8153
```

***

(c)
A relaxed Os3RuW crystal, computed with PBE-GGA.

The structure in CIF format:
```
data_Os3RuW
_chemical_formula_sum 'Os3 Ru1 W1'
_symmetry_space_group_name_H-M 'P m -3 m'
_symmetry_Int_Tables_number 221
_symmetry_space_group_name_Hall '-P 4 2 3'
_cell_length_a 4.5749
_cell_length_b 4.5749
_cell_length_c 4.5749
_cell_angle_alpha 90.00
_cell_angle_beta 90.00
_cell_angle_gamma 90.00
loop_
_atom_site_label
_atom_site_fract_x
_atom_site_fract_y
_atom_site_fract_z
Os1 0.0000 0.0000 0.5000
Ru1 0.0000 0.0000 0.0000
W1 0.5000 0.5000 0.5000
```

***

Of them, the most stable is (b) and the least stable is (c).

***

(a)
A relaxed OsRuW2 crystal, computed with PBE-GGA.

The structure in CIF format:
```
data_OsRuW2
_chemical_formula_sum 'Os2 Ru2 W4'
_symmetry_space_group_name_H-M 'I 4/m m m'
_symmetry_Int_Tables_number 139
_symmetry_space_group_name_Hall '-I 4 2'
_cell_length_a 3.9555
_cell_length_b 3.9555
_cell_length_c 7.7513
_cell_angle_alpha 90.00
_cell_angle_beta 90.00
_cell_angle_gamma 90.00
loop_
_atom_site_label
_atom_site_fract_x
_atom_site_fract_y
_atom_site_fract_z
Os1 0.0000 0.0000 0.0000
Ru1 0.0000 0.0000 0.5000
W1 0.0000 0.5000 0.2500
```

***

(b)
A relaxed OsRuW2 crystal, computed with PBE-GGA.

The structure in CIF format:
```
data_OsRuW2
_chemical_formula_sum 'Os4 Ru4 W8'
_symmetry_space_group_name_H-M 'F -4 3 m'
_symmetry_Int_Tables_number 216
_symmetry_space_group_name_Hall 'F -4 2 3'
_cell_length_a 6.2645
_cell_length_b 6.2645
_cell_length_c 6.2645
_cell_angle_alpha 90.00
_cell_angle_beta 90.00
_cell_angle_gamma 90.00
loop_
_atom_site_label
_atom_site_fract_x
_atom_site_fract_y
_atom_site_fract_z
Os1 0.0000 0.0000 0.0000
Ru1 0.2500 0.2500 0.2500
W1 0.0000 0.0000 0.5000
W2 0.2500 0.2500 0.7500
```

***

Of them, the most stable is (a) and the least stable is (b).

***

(a)
A relaxed OsRuW2 crystal, computed with PBE-GGA.

The structure in CIF format:
```
data_OsRuW2
_chemical_formula_sum 'Os1 Ru1 W2'
_symmetry_space_group_name_H-M 'P 4/m m m'
_symmetry_Int_Tables_number 123
_symmetry_space_group_name_Hall '-P 4 2'
_cell_length_a 2.8089
_cell_length_b 2.8089
_cell_length_c 7.6854
_cell_angle_alpha 90.00
_cell_angle_beta 90.00
_cell_angle_gamma 90.00
loop_
_atom_site_label
_atom_site_fract_x
_atom_site_fract_y
_atom_site_fract_z
Os1 0.0000 0.0000 0.0000
Ru1 0.0000 0.0000 0.5000
W1 0.5000 0.5000 0.2502
```

***

(b)
A relaxed OsRuW2 crystal, computed with PBE-GGA.

The structure in CIF format:
```
data_OsRuW2
_chemical_formula_sum 'Os3 Ru3 W6'
_symmetry_space_group_name_H-M 'R -3 m'
_symmetry_Int_Tables_number 166
_symmetry_space_group_name_Hall '-R 3 2"'
_cell_length_a 2.7734
_cell_length_b 2.7734
_cell_length_c 27.3781
_cell_angle_alpha 90.00
_cell_angle_beta 90.00
_cell_angle_gamma 120.00
loop_
_atom_site_label
_atom_site_fract_x
_atom_site_fract_y
_atom_site_fract_z
Os1 0.0000 0.0000 0.0000
Ru1 0.0000 0.0000 0.5000
W1 0.0000 0.0000 0.2498
```

***

Of them, the most stable is (a) and the least stable is (b).

***

(a)
A relaxed OsRuW2 crystal, computed with PBE-GGA.

The structure in CIF format:
```
data_OsRuW2
_chemical_formula_sum 'Os4 Ru4 W8'
_symmetry_space_group_name_H-M 'F m -3 m'
_symmetry_Int_Tables_number 225
_symmetry_space_group_name_Hall '-F 4 2 3'
_cell_length_a 6.2651
_cell_length_b 6.2651
_cell_length_c 6.2651
_cell_angle_alpha 90.00
_cell_angle_beta 90.00
_cell_angle_gamma 90.00
loop_
_atom_site_label
_atom_site_fract_x
_atom_site_fract_y
_atom_site_fract_z
Os1 0.0000 0.0000 0.0000
Ru1 0.0000 0.0000 0.5000
W1 0.2500 0.2500 0.2500
```

***

(b)
A relaxed OsRuW2 crystal, computed with PBE-GGA.

The structure in CIF format:
```
data_OsRuW2
_chemical_formula_sum 'Os1 Ru1 W2'
_symmetry_space_group_name_H-M 'P m m m'
_symmetry_Int_Tables_number 47
_cell_length_a 3.1274
_cell_length_b 4.3584
_cell_length_c 4.4894
_cell_angle_alpha 90.00
_cell_angle_beta 90.00
_cell_angle_gamma 90.00
loop_
_symmetry_equiv_pos_as_xyz
'x,y,z'
'-x,-y,-z'
'-x,-y,z'
'x,y,-z'
'x,-y,-z'
'-x,y,z'
'-x,y,-z'
'x,-y,z'
loop_
_atom_site_label
_atom_site_fract_x
_atom_site_fract_y
_atom_site_fract_z
Os1 0.0000 0.0000 0.0000
Ru1 0.5000 0.0000 0.5000
W1 0.0000 0.5000 0.5000
W2 0.5000 0.5000 0.0000
```

***

Of them, the most stable is (b) and the least stable is (a).